An optimized crystal structure of CeCr2GeO8, computed with PBE with a Hubbard U.

Cell lengths 6.7300, 6.4632, 6.3307 Å; angles 90.00, 91.75, 90.00 degrees
Space group C2/m (No. 12)
Asymmetric unit:
Ce (0.0000, 0.0000, 0.0000) [2 per cell]
Cr (0.0032, 0.5000, 0.2647) [4 per cell]
Ge (0.0000, 0.0000, 0.5000) [2 per cell]
O (0.0021, 0.1999, 0.7151) [8 per cell]
O (0.1715, 0.5000, 0.9909) [4 per cell]
O (0.1910, 0.5000, 0.4941) [4 per cell]

Values from the calculation:
As for the mass density: 5.37 g cm⁻³. The value obtained for the volume is 275.2 Å³/cell. The total energy is -7.3347 eV/atom.

An optimized crystal structure of CeCrGeO6, computed with PBE with a Hubbard U.

Cell lengths 4.7328, 4.7328, 9.4735 Å; angles 90.00, 90.00, 90.00 degrees
Space group P4_2nm (No. 102)
Asymmetric unit:
Ce (0.0000, 0.0000, 0.0000) [2 per cell]
Cr (0.0000, 0.0000, 0.6704) [2 per cell]
Ge (0.0000, 0.0000, 0.3363) [2 per cell]
O (0.1733, 0.1733, 0.4999) [4 per cell]
O (0.2108, 0.2108, 0.1887) [4 per cell]
O (0.2137, 0.2137, 0.8188) [4 per cell]

Values from the calculation:
As for the mass density: 5.65 g cm⁻³. The value obtained for the volume is 212.2 Å³/cell. The total energy is -7.3521 eV/atom.